[1]
DFT (PBE) results for crystalline KTiMo3 at its relaxed geometry.

The formation energy is 1.8051 eV/atom. Its size of the total moment is 0.0000 μB/atom. As for the crystal system: cubic. For the density of states at the Fermi level, the calculation gives 5.247 states/eV/cell.

It has space group Pm-3m (No. 221), with a = 4.772 Å, b = 4.772 Å, c = 4.772 Å, α = 90.00°, β = 90.00° and γ = 90.00°. Symmetry generates all atoms from K at (0.000, 0.000, 0.000), Ti at (0.500, 0.500, 0.500) and Mo at (0.000, 0.500, 0.500).

[2]
DFT (PBE) results for crystalline KTiMo2 at its relaxed geometry.

The formation energy is 1.5764 eV/atom. Its size of the total moment is 0.0000 μB/atom. As for the crystal system: cubic. For the density of states at the Fermi level, the calculation gives 35.372 states/eV/cell.

It has space group Fm-3m (No. 225), with a = 6.671 Å, b = 6.671 Å, c = 6.671 Å, α = 90.00°, β = 90.00° and γ = 90.00°. Symmetry generates all atoms from K at (0.000, 0.000, 0.000), Ti at (0.000, 0.000, 0.500) and Mo at (0.250, 0.250, 0.250).

[3]
DFT (PBE) results for crystalline KTlMo at its relaxed geometry.

The formation energy is 0.9848 eV/atom. Its size of the total moment is 0.0000 μB/atom. As for the crystal system: trigonal. For the density of states at the Fermi level, the calculation gives 3.107 states/eV/cell.

It has space group P3m1 (No. 156), with a = 3.1147 Å, b = 3.1147 Å, c = 8.5901 Å, α = 90.00°, β = 90.00° and γ = 120.00°. Symmetry generates all atoms from K at (0.0000, 0.0000, 0.0000), Tl at (0.3333, 0.6667, 0.6403) and Mo at (0.6667, 0.3333, 0.3535).

[4]
DFT (PBE) results for crystalline KTlMo at its relaxed geometry.

The formation energy is 0.9359 eV/atom. Its size of the total moment is 0.0000 μB/atom. As for the crystal system: orthorhombic. For the density of states at the Fermi level, the calculation gives 6.969 states/eV/cell.

It has space group Fmm2 (No. 42), with a = 4.028 Å, b = 4.313 Å, c = 16.614 Å, α = 90.00°, β = 90.00° and γ = 90.00°. Symmetry generates all atoms from K at (0.000, 0.000, 0.000), Tl at (0.000, 0.000, 0.321) and Mo at (0.000, 0.000, 0.680).